The following is a DFT calculation (PBE) of a geometry-optimized Nd4NO5 structure.

- ΔE_f (raw): -2.7718 eV per atom

Structure (CIF):
```
data_Nd4NO5
_chemical_formula_sum 'Nd8 N2 O10'
_space_group_name_H-M_alt 'C 1 2/m 1'
_space_group_IT_number 12
_cell_length_a 15.498
_cell_length_b 3.655
_cell_length_c 5.928
_cell_angle_alpha 90.00
_cell_angle_beta 90.81
_cell_angle_gamma 90.00
loop_
_space_group_symop_operation_xyz
'x,y,z'
'-x,-y,-z'
'-x,y,-z'
'x,-y,z'
'x+1/2,y+1/2,z'
'-x+1/2,-y+1/2,-z'
'-x+1/2,y+1/2,-z'
'x+1/2,-y+1/2,z'
loop_
_atom_site_label
_atom_site_type_symbol
_atom_site_fract_x
_atom_site_fract_y
_atom_site_fract_z
Nd1 Nd 0.059 0.000 0.247
Nd2 Nd 0.201 0.500 0.749
N1 N 0.000 0.500 0.500
O1 O 0.000 0.500 0.000
O2 O 0.175 0.000 0.492
O3 O 0.176 0.000 0.002
```



The following is a DFT calculation (PBE) of a geometry-optimized ScAg2Rh structure.

- E_form: -0.344 eV per atom

Structure (CIF):
```
data_ScAg2Rh
_chemical_formula_sum 'Sc1 Ag2 Rh1'
_space_group_name_H-M_alt 'P 1 m 1'
_space_group_IT_number 6
_cell_length_a 3.218
_cell_length_b 3.627
_cell_length_c 6.021
_cell_angle_alpha 90.00
_cell_angle_beta 90.27
_cell_angle_gamma 90.00
loop_
_space_group_symop_operation_xyz
'x,y,z'
'x,-y,z'
loop_
_atom_site_label
_atom_site_type_symbol
_atom_site_fract_x
_atom_site_fract_y
_atom_site_fract_z
Sc1 Sc 0.000 0.000 0.000
Ag1 Ag 0.001 0.000 0.528
Ag2 Ag 0.500 0.500 0.288
Rh1 Rh 0.499 0.500 0.797
```



The following is a DFT calculation (PBE) of a geometry-optimized Na2PdC2O6 structure.

- ΔE_f (raw): -1.3523 eV per atom

Structure (CIF):
```
data_Na2PdC2O6
_chemical_formula_sum 'Na4 Pd2 C4 O12'
_space_group_name_H-M_alt 'C 1 2/m 1'
_space_group_IT_number 12
_cell_length_a 10.723
_cell_length_b 5.004
_cell_length_c 5.868
_cell_angle_alpha 90.00
_cell_angle_beta 118.97
_cell_angle_gamma 90.00
loop_
_space_group_symop_operation_xyz
'x,y,z'
'-x,-y,-z'
'-x,y,-z'
'x,-y,z'
'x+1/2,y+1/2,z'
'-x+1/2,-y+1/2,-z'
'-x+1/2,y+1/2,-z'
'x+1/2,-y+1/2,z'
loop_
_atom_site_label
_atom_site_type_symbol
_atom_site_fract_x
_atom_site_fract_y
_atom_site_fract_z
Na1 Na 0.205 0.000 0.203
Pd1 Pd 0.000 0.000 0.500
C1 C 0.004 0.500 0.746
O1 O 0.081 0.279 0.791
O2 O 0.128 0.500 0.332
```



The following is a DFT calculation (PBE) of a geometry-optimized LaTiCu structure.

- ΔE to the lowest computed polymorph: 513 meV/atom
- E_form: 0.526 eV per atom

Structure (CIF):
```
data_LaTiCu
_chemical_formula_sum 'La2 Ti2 Cu2'
_space_group_name_H-M_alt 'P 63/m m c'
_space_group_IT_number 194
_space_group_name_Hall '-P 6c 2c'
_cell_length_a 4.9321
_cell_length_b 4.9321
_cell_length_c 5.8421
_cell_angle_alpha 90.00
_cell_angle_beta 90.00
_cell_angle_gamma 120.00
loop_
_atom_site_label
_atom_site_type_symbol
_atom_site_fract_x
_atom_site_fract_y
_atom_site_fract_z
La1 La 0.3333 0.6667 0.2500
Ti1 Ti 0.3333 0.6667 0.7500
Cu1 Cu 0.0000 0.0000 0.0000
```



The following is a DFT calculation (PBE) of a geometry-optimized Cs2MgSe2 structure.

- ΔE_f (raw): -0.2271 eV per atom

Structure (CIF):
```
data_Cs2MgSe2
_chemical_formula_sum 'Cs4 Mg2 Se4'
_space_group_name_H-M_alt 'I 4/m m m'
_space_group_IT_number 139
_space_group_name_Hall '-I 4 2'
_cell_length_a 4.188
_cell_length_b 4.188
_cell_length_c 24.459
_cell_angle_alpha 90.00
_cell_angle_beta 90.00
_cell_angle_gamma 90.00
loop_
_atom_site_label
_atom_site_type_symbol
_atom_site_fract_x
_atom_site_fract_y
_atom_site_fract_z
Cs1 Cs 0.000 0.000 0.134
Mg1 Mg 0.000 0.000 0.500
Se1 Se 0.000 0.500 0.250
```



The following is a DFT calculation (PBE) of a geometry-optimized Ta2Ti2Pt structure.

- ΔE to the lowest computed polymorph: 0 meV/atom
- E_form: -0.435 eV per atom

Structure (CIF):
```
data_Ta2Ti2Pt
_chemical_formula_sum 'Ta4 Ti4 Pt2'
_space_group_name_H-M_alt 'I 4/m m m'
_space_group_IT_number 139
_space_group_name_Hall '-I 4 2'
_cell_length_a 3.239
_cell_length_b 3.239
_cell_length_c 16.096
_cell_angle_alpha 90.00
_cell_angle_beta 90.00
_cell_angle_gamma 90.00
loop_
_atom_site_label
_atom_site_type_symbol
_atom_site_fract_x
_atom_site_fract_y
_atom_site_fract_z
Ta1 Ta 0.000 0.000 0.199
Ti1 Ti 0.000 0.000 0.403
Pt1 Pt 0.000 0.000 0.000
```